YMgAg2: optimized geometry, PBE-GGA.

## Properties
calculated formation energy = 0.6 eV per formula unit
DOS(E_F) = 5.93 states/eV per cell
space group = I-42d

Lattice parameters (Å, degrees): 10.0611 10.0611 10.0611 153.67 153.67 37.58
Fractional positions:
Y 0.0000 0.0000 0.0000
Y 0.7500 0.2500 0.5000
Mg 0.2500 0.7500 0.5000
Mg 0.5000 0.5000 0.0000
Ag 0.1912 0.6250 0.0662
Ag 0.3750 0.4412 0.5662
Ag 0.5588 0.1250 0.9338
Ag 0.8750 0.8088 0.4338